# 1
Here is crystalline Hf4SbC2Se at its relaxed geometry from the Open Quantum Materials Database. Energies are from PBE.

Lattice parameters (Å, degrees): 3.4266 3.4266 13.1425 90.00 90.00 120.00
Space group P-6m2 (No. 187)
One atom of each set of equivalent atoms:
Hf (0.0000, 0.0000, 0.1474) [2 per cell]
Hf (0.6667, 0.3333, 0.3286) [2 per cell]
Sb (0.0000, 0.0000, 0.5000) [1 per cell]
C (0.3333, 0.6667, 0.2376) [2 per cell]
Se (0.6667, 0.3333, 0.0000) [1 per cell]

Values from the calculation:
magnetization: 0.0 μB/cell
final energy: -73.57 eV per cell
ρ: 11.664 Mg/m³
crystal system: hexagonal

=====

# 2
Here is crystalline InHg3PdS4 at its relaxed geometry from the Open Quantum Materials Database. Energies are from PBE.

Lattice parameters (Å, degrees): 6.106 6.106 6.106 90.00 90.00 90.00
Space group P-43m (No. 215)
One atom of each set of equivalent atoms:
In (0.000, 0.000, 0.000) [1 per cell]
Hg (0.000, 0.500, 0.500) [3 per cell]
Pd (0.500, 0.500, 0.500) [1 per cell]
S (0.244, 0.244, 0.244) [4 per cell]

Values from the calculation:
final energy: -25.80 eV per cell
ρ: 6.940 Mg/m³
crystal system: cubic

=====

# 3
Here is crystalline ScTeOs2 at its relaxed geometry from the Open Quantum Materials Database. Energies are from PBE.

Lattice parameters (Å, degrees): 6.534 6.534 6.534 90.00 90.00 90.00
Space group F-43m (No. 216)
One atom of each set of equivalent atoms:
Sc (0.000, 0.000, 0.000) [4 per cell]
Te (0.250, 0.250, 0.250) [4 per cell]
Os (0.000, 0.000, 0.500) [4 per cell]
Os (0.250, 0.250, 0.750) [4 per cell]

Values from the calculation:
magnetization: 0.5 μB/cell
final energy: -119.63 eV per cell
ρ: 13.166 Mg/m³
crystal system: cubic